La2TlGaOs, optimized geometry, DFT PBE; magnetic moment = 0.00 Bohr magnetons per cell; energy above the most stable polymorph in this dataset = 1.138 eV per atom; crystal system = tetragonal
1.0
5.6325 0.0000 0.0000
0.0000 4.8231 0.0000
0.0000 0.0000 5.6325
La Os Ga Tl
2 1 1 1
Direct
0.0000 0.0000 0.5000
0.5000 0.0000 0.0000
0.5000 0.5000 0.5000
0.0000 0.0000 0.0000
0.0000 0.5000 0.0000

***

La2TlGaOs, optimized geometry, DFT PBE; magnetic moment = 0.00 Bohr magnetons per cell; energy above the most stable polymorph in this dataset = 0.000 eV per atom; crystal system = tetragonal
1.0
-2.1255 -3.4904 3.7338
2.4461 -4.2453 -2.5761
3.9852 0.5868 2.8171
La Ga Os Tl
2 1 1 1
Direct
0.5000 0.0000 0.0000
0.0000 0.5000 0.0000
0.0000 0.0000 0.5000
0.0000 0.0000 0.0000
0.5000 0.5000 0.5000

***

Number 1: Fermi-level density of states 6.21 states/eV/cell, ΔH_f (0 K) 889.0 meV/atom. Number 2: Fermi-level density of states 5.32 states/eV/cell, ΔH_f (0 K) -248.7 meV/atom.